No. 1
Crystalline Sn2AuCS at its relaxed geometry, computed with PBE.

Cell lengths 5.6172, 5.6172, 3.8236 Å; angles 90.00, 90.00, 90.00 degrees
Last column: nearest neighbours and their distance in Å.
Fractional coordinates of all 5 atoms:
Sn 0.0000 0.5000 0.0000  2 Au 2.81
Sn 0.5000 0.0000 0.0000  2 Au 2.81
Au 0.0000 0.0000 0.0000  2 C 1.91
C 0.0000 0.0000 0.5000  2 Au 1.91
S 0.5000 0.5000 0.5000  8 Sn 3.40

As for the space group: No. 123. The calculation puts the volume at 24.129 Å³/atom. Its spin magnetization is 0.00 Bohr magnetons per cell. The raw total energy is -20.285 eV/f.u.

=====

No. 2
Crystalline Th4AuCS2 at its relaxed geometry, computed with PBE.

Cell lengths 6.9706, 3.9996, 7.2612 Å; angles 90.00, 108.48, 90.00 degrees
Last column: nearest neighbours and their distance in Å.
Fractional coordinates of all 8 atoms:
Th 0.2276 0.0000 0.2158  2 C 2.72, 1 S 2.82, 1 Au 2.98
Th 0.2463 0.5000 0.7810  1 C 2.68, 2 S 2.81, 2 Au 2.98
Th 0.7537 0.5000 0.2190  1 C 2.68, 2 S 2.81, 2 Au 2.98
Th 0.7724 0.0000 0.7842  2 C 2.72, 1 S 2.82, 1 Au 2.98
Au 0.0000 0.0000 0.5000  6 Th 2.98
C 0.0000 0.5000 0.0000  6 Th 2.68-2.72
S 0.5000 0.0000 0.0000  6 Th 2.81-2.82
S 0.5000 0.5000 0.5000  6 Th 3.06-3.09

As for the space group: No. 10. The calculation puts the volume at 23.999 Å³/atom. Its spin magnetization is 0.00 Bohr magnetons per cell. The raw total energy is -59.047 eV/f.u.

=====

No. 3
Crystalline Th6Au3C2S at its relaxed geometry, computed with PBE.

Cell lengths 6.7918, 6.7918, 7.5343 Å; angles 98.14, 98.14, 119.90 degrees
Last column: nearest neighbours and their distance in Å.
Fractional coordinates of all 12 atoms:
Th 0.0769 0.4383 0.7815  2 C 2.54-2.72
Th 0.1941 0.1941 0.1791  2 C 2.68, 1 S 2.78
Th 0.4383 0.0769 0.7815  2 C 2.54-2.72
Th 0.5617 0.9231 0.2185  2 C 2.54-2.72
Th 0.8059 0.8059 0.8209  2 C 2.68, 1 S 2.78
Th 0.9231 0.5617 0.2185  2 C 2.54-2.72
Au 0.0000 0.0000 0.5000  6 Th 3.06-3.16
Au 0.3710 0.6290 0.5000  1 Au 3.03, 6 Th 3.09-3.24
Au 0.6290 0.3710 0.5000  1 Au 3.03, 6 Th 3.09-3.24
C 0.1831 0.8169 0.0000  6 Th 2.54-2.72
C 0.8169 0.1831 0.0000  6 Th 2.54-2.72
S 0.5000 0.5000 0.0000  6 Th 2.78-2.90

As for the space group: No. 12. The calculation puts the volume at 24.082 Å³/atom. Its spin magnetization is 0.00 Bohr magnetons per cell. The raw total energy is -84.872 eV/f.u.

=====

No. 4
Crystalline Th6AuC3S2 at its relaxed geometry, computed with PBE.

Cell lengths 9.0534, 9.0534, 8.2046 Å; angles 107.67, 107.67, 24.52 degrees
Last column: nearest neighbours and their distance in Å.
Fractional coordinates of all 12 atoms:
Th 0.0109 0.0109 0.2194  3 C 2.60-2.64
Th 0.3219 0.3219 0.4384  3 C 2.59-2.67
Th 0.3400 0.3400 0.8987  3 C 2.66-2.69, 3 S 2.96
Th 0.6600 0.6600 0.1013  3 C 2.66-2.69, 3 S 2.96
Th 0.6781 0.6781 0.5616  3 C 2.59-2.67
Th 0.9891 0.9891 0.7806  3 C 2.60-2.64
Au 0.5000 0.5000 0.5000  6 Th 3.03-3.05
C 0.1678 0.1678 0.3303  6 Th 2.59-2.67
C 0.5000 0.5000 0.0000  6 Th 2.60-2.69
C 0.8322 0.8322 0.6697  6 Th 2.59-2.67
S 0.1658 0.1658 0.8310  6 Th 2.96-3.02
S 0.8342 0.8342 0.1690  6 Th 2.96-3.02

As for the space group: No. 12. The calculation puts the volume at 22.104 Å³/atom. Its spin magnetization is 0.00 Bohr magnetons per cell. The raw total energy is -94.751 eV/f.u.